## InBr3 (GGA-PBE)

Data for a geometry-optimized InBr3 structure. Values from VASP.

Calculated values
Calculated density   4.6 g cm⁻³
Formation energy without anion corrections   -0.19 eV per atom
Space-group type   Pmm2, No. 25
Final energy   -2.134 eV per atom

The structure in Quantum ESPRESSO input format:
```
&SYSTEM
  ibrav = 0, nat = 4, ntyp = 2
/
ATOMIC_SPECIES
In 114.82 In.upf
Br 79.90 Br.upf
CELL_PARAMETERS angstrom
4.172 0.000 0.000
0.000 7.033 0.000
0.000 0.000 4.379
ATOMIC_POSITIONS crystal
In 0.000 0.500 0.389
Br 0.500 0.500 0.896
Br 0.500 0.000 0.441
Br 0.000 0.000 0.941
```